[1]
The following is a DFT calculation (GGA-PBE) of a relaxed structure of Nb2SbTe.

a b c (Å): 7.589 7.589 7.589
angles (deg): 128.97 128.97 75.05
Fractional positions:
Nb (0.124, 0.625, 0.999)
Nb (0.375, 0.374, 0.499)
Nb (0.626, 0.125, 0.001)
Nb (0.875, 0.876, 0.501)
Sb (0.000, 0.000, 0.000)
Sb (0.750, 0.250, 0.500)
Te (0.250, 0.750, 0.500)
Te (0.500, 0.500, 0.000)

Output
The calculation puts the total energy at -6.188 eV/atom. As for the magnetic moment: 7.56 μB/cell. The formation energy (no corrections) comes out at 15.284 kcal/mol of atoms.

=====

[2]
The following is a DFT calculation (GGA-PBE) of a relaxed structure of Nb2Sb2Te.

a b c (Å): 7.886 7.886 3.560
angles (deg): 90.00 90.00 90.00
Fractional positions:
Nb (0.147, 0.353, 0.000)
Nb (0.353, 0.853, 0.000)
Nb (0.647, 0.147, 0.000)
Nb (0.853, 0.647, 0.000)
Sb (0.143, 0.643, 0.500)
Sb (0.357, 0.143, 0.500)
Sb (0.643, 0.857, 0.500)
Sb (0.857, 0.357, 0.500)
Te (0.000, 0.000, 0.000)
Te (0.500, 0.500, 0.000)

Output
The calculation puts the total energy at -6.405 eV/atom. As for the magnetic moment: 0.00 μB/cell. The formation energy (no corrections) comes out at -2.312 kcal/mol of atoms.

=====

[3]
The following is a DFT calculation (GGA-PBE) of a relaxed structure of Nb4SbTe8.

a b c (Å): 7.362 7.362 9.426
angles (deg): 113.03 113.03 59.98
Fractional positions:
Nb (0.000, 0.000, 0.000)
Nb (0.000, 0.500, 0.000)
Nb (0.500, 0.000, 0.000)
Nb (0.500, 0.500, 0.000)
Sb (0.000, 0.000, 0.500)
Te (0.237, 0.742, 0.221)
Te (0.240, 0.240, 0.221)
Te (0.258, 0.258, 0.779)
Te (0.258, 0.763, 0.779)
Te (0.742, 0.237, 0.221)
Te (0.742, 0.742, 0.221)
Te (0.760, 0.760, 0.779)
Te (0.763, 0.258, 0.779)

Output
The calculation puts the total energy at -5.633 eV/atom. As for the magnetic moment: 0.00 μB/cell. The formation energy (no corrections) comes out at -6.548 kcal/mol of atoms.

=====

> Which formula does entry 1 have?

Nb2SbTe

=====

> Which of these has the highest total energy?

Nb4SbTe8

=====

Copy entry 3 word for word.
The following is a DFT calculation (GGA-PBE) of a relaxed structure of Nb4SbTe8.

a b c (Å): 7.362 7.362 9.426
angles (deg): 113.03 113.03 59.98
Fractional positions:
Nb (0.000, 0.000, 0.000)
Nb (0.000, 0.500, 0.000)
Nb (0.500, 0.000, 0.000)
Nb (0.500, 0.500, 0.000)
Sb (0.000, 0.000, 0.500)
Te (0.237, 0.742, 0.221)
Te (0.240, 0.240, 0.221)
Te (0.258, 0.258, 0.779)
Te (0.258, 0.763, 0.779)
Te (0.742, 0.237, 0.221)
Te (0.742, 0.742, 0.221)
Te (0.760, 0.760, 0.779)
Te (0.763, 0.258, 0.779)

Output
The calculation puts the total energy at -5.633 eV/atom. As for the magnetic moment: 0.00 μB/cell. The formation energy (no corrections) comes out at -6.548 kcal/mol of atoms.